This record from the Alexandria database describes a relaxed LaTa2Ga2 crystal. The functional is PBE.

Properties
Offset from the most stable computed form ... 427 meV per atom
ρ ... 9.4 g cm⁻³
Calculated formation energy ... 159 meV per atom
D(E_F) ... 8.2 states/eV per cell

a = 4.814 Å, b = 4.814 Å, c = 9.719 Å
α = 90.00°, β = 90.00°, γ = 90.00°
Positions (direct):
1 La 0.000 0.000 0.000
2 La 0.500 0.500 0.500
3 Ta 0.000 0.000 0.361
4 Ta 0.000 0.000 0.639
5 Ta 0.500 0.500 0.139
6 Ta 0.500 0.500 0.861
7 Ga 0.000 0.500 0.250
8 Ga 0.000 0.500 0.750
9 Ga 0.500 0.000 0.250
10 Ga 0.500 0.000 0.750

=====

This record from the Alexandria database describes a relaxed Li6HgAu2 crystal. The functional is PBE.

Properties
ρ ... 7.4 g cm⁻³
Calculated formation energy ... -379 meV per atom
D(E_F) ... 4.1 states/eV per cell

a = 5.325 Å, b = 5.325 Å, c = 5.103 Å
α = 93.72°, β = 93.72°, γ = 94.20°
Positions (direct):
1 Li 0.171 0.829 0.000
2 Li 0.172 0.499 0.332
3 Li 0.499 0.172 0.332
4 Li 0.501 0.828 0.668
5 Li 0.828 0.501 0.668
6 Li 0.829 0.171 0.000
7 Hg 0.000 0.000 0.500
8 Au 0.335 0.335 0.835
9 Au 0.665 0.665 0.165

=====

This record from the Alexandria database describes a relaxed CrTcIr2 crystal. The functional is PBE.

Properties
Offset from the most stable computed form ... 82 meV per atom
ρ ... 16.0 g cm⁻³
Calculated formation energy ... -176 meV per atom
D(E_F) ... 3.6 states/eV per cell

a = 2.700 Å, b = 2.700 Å, c = 7.599 Å
α = 90.00°, β = 90.00°, γ = 90.00°
Positions (direct):
1 Cr 0.000 0.000 0.000
2 Tc 0.000 0.000 0.500
3 Ir 0.500 0.500 0.240
4 Ir 0.500 0.500 0.760

=====

This record from the Alexandria database describes a relaxed Li4InFe crystal. The functional is PBE.

Properties
ρ ... 3.6 g cm⁻³
Calculated formation energy ... 183 meV per atom
D(E_F) ... 6.4 states/eV per cell

a = 5.070 Å, b = 5.070 Å, c = 5.070 Å
α = 60.00°, β = 60.00°, γ = 60.00°
Positions (direct):
1 Li 0.124 0.124 0.124
2 Li 0.124 0.124 0.627
3 Li 0.124 0.627 0.124
4 Li 0.627 0.124 0.124
5 In 0.500 0.500 0.500
6 Fe 0.750 0.750 0.750

=====

This record from the Alexandria database describes a relaxed LaInGaNi crystal. The functional is PBE.

Properties
ρ ... 7.6 g cm⁻³
Calculated formation energy ... -340 meV per atom
D(E_F) ... 8.4 states/eV per cell

a = 6.952 Å, b = 6.952 Å, c = 6.952 Å
α = 90.00°, β = 90.00°, γ = 90.00°
Positions (direct):
1 La 0.000 0.000 0.000
2 La 0.000 0.500 0.500
3 La 0.500 0.000 0.500
4 La 0.500 0.500 0.000
5 In 0.000 0.000 0.500
6 In 0.000 0.500 0.000
7 In 0.500 0.000 0.000
8 In 0.500 0.500 0.500
9 Ga 0.250 0.250 0.750
10 Ga 0.250 0.750 0.250
11 Ga 0.750 0.250 0.250
12 Ga 0.750 0.750 0.750
13 Ni 0.250 0.250 0.250
14 Ni 0.250 0.750 0.750
15 Ni 0.750 0.250 0.750
16 Ni 0.750 0.750 0.250

=====

This record from the Alexandria database describes a relaxed Pa2TlPt crystal. The functional is PBE.

Properties
Offset from the most stable computed form ... 0 meV per atom
ρ ... 15.2 g cm⁻³
Calculated formation energy ... -342 meV per atom
D(E_F) ... 7.6 states/eV per cell

a = 3.280 Å, b = 3.280 Å, c = 8.751 Å
α = 90.00°, β = 90.00°, γ = 90.00°
Positions (direct):
1 Pa 0.000 0.000 0.219
2 Pa 0.000 0.000 0.781
3 Tl 0.500 0.500 0.500
4 Pt 0.500 0.500 0.000